Entry 1:
A plane-wave DFT calculation with GGA-PBE was carried out for a relaxed structure of RbMnS3.

Values from the calculation:
The density of states at the Fermi level comes out at 3.2 states/eV/cell. The calculation puts the formation energy from raw total energies at 1434 meV/atom. The crystal system is cubic.

Lattice parameters (Å, degrees): 5.365 5.365 5.365 90.00 90.00 90.00
Fractional positions:
Rb: 0.000 0.000 0.000
Mn: 0.500 0.500 0.500
S: 0.000 0.000 0.500
S: 0.000 0.500 0.000
S: 0.500 0.000 0.000


Entry 2:
A plane-wave DFT calculation with GGA-PBE was carried out for a relaxed structure of Hg2Ge2Au5.

Values from the calculation:
The density of states at the Fermi level comes out at 2.9 states/eV/cell. For the total energy, the calculation gives -2.851 eV/atom. The crystal system is monoclinic.

Lattice parameters (Å, degrees): 6.501 6.501 7.548 119.71 119.71 44.64
Fractional positions:
Hg: 0.132 0.132 0.447
Hg: 0.868 0.868 0.553
Ge: 0.410 0.410 0.274
Ge: 0.590 0.590 0.726
Au: 0.000 0.000 0.000
Au: 0.187 0.187 0.872
Au: 0.396 0.396 0.785
Au: 0.604 0.604 0.215
Au: 0.813 0.813 0.128


Entry 3:
A plane-wave DFT calculation with GGA-PBE was carried out for a relaxed structure of YSc2CoPb.

Values from the calculation:
The density of states at the Fermi level comes out at 5.1 states/eV/cell. For the total energy, the calculation gives -6.229 eV/atom. The crystal system is tetragonal.

Lattice parameters (Å, degrees): 4.853 4.853 5.165 90.00 90.00 90.00
Fractional positions:
Y: 0.000 0.000 0.000
Sc: 0.000 0.500 0.500
Sc: 0.500 0.000 0.500
Co: 0.000 0.000 0.500
Pb: 0.500 0.500 0.000


Entry 4:
A plane-wave DFT calculation with GGA-PBE was carried out for a relaxed structure of La2CrBr.

Values from the calculation:
The density of states at the Fermi level comes out at 3.1 states/eV/cell. The calculation puts the formation energy from raw total energies at -343 meV/atom. The crystal system is tetragonal.

Lattice parameters (Å, degrees): 3.599 3.599 8.614 90.00 90.00 90.00
Fractional positions:
La: 0.000 0.000 0.222
La: 0.000 0.000 0.778
Cr: 0.500 0.500 0.000
Br: 0.500 0.500 0.500


Entry 5:
A plane-wave DFT calculation with GGA-PBE was carried out for a relaxed structure of KTiIO5.

Values from the calculation:
The density of states at the Fermi level comes out at 0.0 states/eV/cell. The calculation puts the formation energy from raw total energies at -1482 meV/atom. The crystal system is monoclinic.

Lattice parameters (Å, degrees): 5.897 5.897 7.342 99.75 99.75 105.86
Fractional positions:
K: 0.177 0.823 0.750
K: 0.823 0.177 0.250
Ti: 0.500 0.500 0.000
Ti: 0.500 0.500 0.500
I: 0.166 0.834 0.250
I: 0.834 0.166 0.750
O: 0.148 0.317 0.955
O: 0.190 0.602 0.393
O: 0.317 0.148 0.455
O: 0.398 0.810 0.107
O: 0.449 0.551 0.750
O: 0.551 0.449 0.250
O: 0.602 0.190 0.893
O: 0.683 0.852 0.545
O: 0.810 0.398 0.607
O: 0.852 0.683 0.045


Entry 6:
A plane-wave DFT calculation with GGA-PBE was carried out for a relaxed structure of NbP2AuO8.

Values from the calculation:
The calculation puts the formation energy from raw total energies at -2008 meV/atom. The crystal system is monoclinic.

Lattice parameters (Å, degrees): 5.280 5.280 9.070 103.87 103.87 60.47
Fractional positions:
Nb: 0.000 0.000 0.000
P: 0.285 0.285 0.804
P: 0.715 0.715 0.196
Au: 0.000 0.000 0.500
O: 0.153 0.622 0.858
O: 0.162 0.162 0.893
O: 0.220 0.220 0.632
O: 0.378 0.847 0.142
O: 0.622 0.153 0.858
O: 0.780 0.780 0.368
O: 0.838 0.838 0.107
O: 0.847 0.378 0.142